(1)
First-principles (PBE-GGA) data for an optimized crystal structure of NdZnPdRh, as listed in Alexandria.

Results
formation enthalpy at 0 K = -541 meV/atom
crystal system = cubic
SG = F-43m, No. 216

Cell: 4.718 4.718 4.718 Å, 60.00 60.00 60.00°
Element x y z (fractional)
1 Nd 0.000 0.000 0.000
2 Zn 0.500 0.500 0.500
3 Pd 0.750 0.750 0.750
4 Rh 0.250 0.250 0.250

(2)
First-principles (PBE-GGA) data for an optimized crystal structure of NdZn5PdRh2, as listed in Alexandria.

Results
formation enthalpy at 0 K = -163 meV/atom
crystal system = tetragonal
SG = P4/mmm, No. 123

Cell: 4.784 4.784 7.297 Å, 90.00 90.00 90.00°
Element x y z (fractional)
1 Nd 0.000 0.000 0.000
2 Zn 0.000 0.500 0.303
3 Zn 0.000 0.500 0.697
4 Zn 0.500 0.000 0.303
5 Zn 0.500 0.000 0.697
6 Zn 0.500 0.500 0.000
7 Pd 0.000 0.000 0.500
8 Rh 0.500 0.500 0.328
9 Rh 0.500 0.500 0.672

(3)
First-principles (PBE-GGA) data for an optimized crystal structure of Nd6Pd2Ru, as listed in Alexandria.

Results
formation enthalpy at 0 K = -408 meV/atom
crystal system = monoclinic
SG = P2_1/c, No. 14

Cell: 6.726 7.584 12.181 Å, 90.00 121.14 90.00°
Element x y z (fractional)
1 Nd 0.096 0.181 0.432
2 Nd 0.096 0.319 0.932
3 Nd 0.260 0.678 0.430
4 Nd 0.260 0.822 0.930
5 Nd 0.402 0.041 0.250
6 Nd 0.402 0.459 0.750
7 Nd 0.598 0.541 0.250
8 Nd 0.598 0.959 0.750
9 Nd 0.740 0.178 0.070
10 Nd 0.740 0.322 0.570
11 Nd 0.904 0.681 0.068
12 Nd 0.904 0.819 0.568
13 Pd 0.176 0.116 0.739
14 Pd 0.176 0.384 0.239
15 Pd 0.824 0.616 0.761
16 Pd 0.824 0.884 0.261
17 Ru 0.500 0.000 0.500
18 Ru 0.500 0.500 0.000

(4)
First-principles (PBE-GGA) data for an optimized crystal structure of Nd8Pd2Ru, as listed in Alexandria.

Results
formation enthalpy at 0 K = -306 meV/atom
crystal system = monoclinic
SG = C2/m, No. 12

Cell: 9.268 9.268 6.979 Å, 100.25 100.25 32.47°
Element x y z (fractional)
1 Nd 0.031 0.031 0.285
2 Nd 0.202 0.202 0.829
3 Nd 0.338 0.338 0.530
4 Nd 0.412 0.412 0.061
5 Nd 0.588 0.588 0.939
6 Nd 0.662 0.662 0.470
7 Nd 0.798 0.798 0.171
8 Nd 0.969 0.969 0.715
9 Pd 0.197 0.197 0.239
10 Pd 0.803 0.803 0.761
11 Ru 0.500 0.500 0.500

What is the formula in the third record?
Nd6Pd2Ru

formation enthalpy at 0 K of number 2 (NdZn5PdRh2)?
-163 meV/atom

What is the formula in the third record?
Nd6Pd2Ru